# 1
Compound: PmNd2N3
Source: the Open Quantum Materials Database
Functional: GGA-PBE
Structure: optimized geometry

Cell lengths 3.6216, 3.6216, 8.8768 Å; angles 90.00, 90.00, 120.00 degrees
Closest atoms and distances in Å follow each position.
Space group P-3m1 (No. 164)
Inequivalent atoms, fractional coordinates:
Pm  0.0000  0.0000  0.0000 [1 per cell]  6 N 2.56
Nd  0.3333  0.6667  0.3329 [2 per cell]  6 N 2.56
N  0.0000  0.0000  0.5000 [1 per cell]  6 Nd 2.56
N  0.3333  0.6667  0.8343 [2 per cell]  3 Pm 2.56, 3 Nd 2.56


# 2
Compound: PmPrNdSe2N
Source: the Open Quantum Materials Database
Functional: GGA-PBE
Structure: optimized geometry

Cell lengths 3.9233, 3.9233, 10.3981 Å; angles 90.00, 90.00, 120.00 degrees
Closest atoms and distances in Å follow each position.
Space group P3m1 (No. 156)
Inequivalent atoms, fractional coordinates:
Pm  0.0000  0.0000  0.0000 [1 per cell]  3 N 2.61
Pr  0.3333  0.6667  0.6289 [1 per cell]  6 Se 2.97-2.98
Nd  0.6667  0.3333  0.2562 [1 per cell]  3 N 2.64
Se  0.0000  0.0000  0.4436 [1 per cell]  3 Pr 2.97, 3 Nd 2.99
Se  0.6667  0.3333  0.8150 [1 per cell]  3 Pm 2.97, 3 Pr 2.98
N  0.3333  0.6667  0.1253 [1 per cell]  3 Pm 2.61, 3 Nd 2.64


# 3
Compound: PmNdSN2
Source: the Open Quantum Materials Database
Functional: GGA-PBE
Structure: optimized geometry

Cell lengths 4.0082, 4.0082, 6.8229 Å; angles 90.00, 90.00, 120.00 degrees
Closest atoms and distances in Å follow each position.
Space group P3m1 (No. 156)
Inequivalent atoms, fractional coordinates:
Pm  0.0000  0.0000  0.0000 [1 per cell]  4 N 2.37-2.40
Nd  0.3333  0.6667  0.5534 [1 per cell]  4 N 2.41-2.42
S  0.6667  0.3333  0.2753 [1 per cell]  3 Pm 2.98, 3 Nd 2.99
N  0.0000  0.0000  0.6522 [1 per cell]  1 Pm 2.37, 3 Nd 2.41
N  0.3333  0.6667  0.9075 [1 per cell]  3 Pm 2.40, 1 Nd 2.42


# 4
Compound: PrNd2N3
Source: the Open Quantum Materials Database
Functional: GGA-PBE
Structure: optimized geometry

Cell lengths 3.6467, 3.6467, 8.9344 Å; angles 90.00, 90.00, 120.00 degrees
Closest atoms and distances in Å follow each position.
Space group P-3m1 (No. 164)
Inequivalent atoms, fractional coordinates:
Pr  0.0000  0.0000  0.0000 [1 per cell]  6 N 2.59
Nd  0.3333  0.6667  0.3340 [2 per cell]  6 N 2.57-2.58
N  0.0000  0.0000  0.5000 [1 per cell]  6 Nd 2.58
N  0.3333  0.6667  0.8318 [2 per cell]  3 Nd 2.57, 3 Pr 2.59


# 5
Compound: PrNd2N3
Source: the Open Quantum Materials Database
Functional: GGA-PBE
Structure: optimized geometry

Cell lengths 3.6505, 5.1587, 10.9502 Å; angles 90.00, 90.00, 90.00 degrees
Closest atoms and distances in Å follow each position.
Space group Immm (No. 71)
Inequivalent atoms, fractional coordinates:
Pr  0.0000  0.0000  0.0000 [2 per cell]  6 N 2.58-2.59
Nd  0.0000  0.0000  0.3331 [4 per cell]  6 N 2.57-2.58
N  0.0000  0.5000  0.0000 [2 per cell]  2 Pr 2.58, 4 Nd 2.58
N  0.0000  0.5000  0.3318 [4 per cell]  4 Nd 2.57-2.58, 2 Pr 2.59


# 6
Compound: PrNd2Ta2N6
Source: the Open Quantum Materials Database
Functional: GGA-PBE
Structure: optimized geometry

Cell lengths 4.0515, 4.0515, 19.7538 Å; angles 90.00, 90.00, 90.00 degrees
Closest atoms and distances in Å follow each position.
Space group I4/mmm (No. 139)
Inequivalent atoms, fractional coordinates:
Pr  0.0000  0.0000  0.0000 [2 per cell]  8 N 2.64
Nd  0.0000  0.0000  0.1795 [4 per cell]  1 N 2.38
Ta  0.0000  0.0000  0.3984 [4 per cell]  5 N 1.95-2.05
N  0.0000  0.0000  0.2999 [4 per cell]  1 Ta 1.95
N  0.0000  0.5000  0.0856 [8 per cell]  2 Ta 2.05


no.,spin magnetization (μB per formula unit),VASP energy (eV per atom)
1,0.0,-7.927
2,0.0,-6.579
3,2.0,-7.096
4,0.0,-7.883
5,0.0,-7.883
6,0.0,-9.339